# HoMg2

A PBEsol-optimized structure of HoMg2 (meta-GGA SCAN, the Alexandria database).

Cell: 5.1771 5.1771 3.2099 Å, 90.00 90.00 120.00°
Closest atoms and distances in Å follow each position.
Sites, in units of the cell vectors:
Ho: 0.0000 0.0000 0.0000  2 Ho 3.21, 12 Mg 3.39
Mg: 0.3333 0.6667 0.5000  5 Mg 2.99-3.21
Mg: 0.6667 0.3333 0.5000  5 Mg 2.99-3.21

Computed properties:
energy of formation from the pure elements	-6.1	kJ/mol of atoms
total moment	0.016	Bohr magnetons per cell
E_tot	-19.71	eV/atom
SG	P6/mmm